[1]
{"formula": "HfGaTc3", "functional": "PBE-GGA", "state": "relaxed", "e_above_lowest_polymorph_ev_per_fu": 0.00, "lattice_angstrom": [[4.531, 0.000, 0.000], [0.000, 4.531, 0.000], [0.000, 0.000, 4.531]], "species": ["Hf", "Tc", "Tc", "Tc", "Ga"], "fractional_positions": [[0.500, 0.500, 0.500], [0.000, 0.500, 0.000], [0.000, 0.000, 0.500], [0.500, 0.000, 0.000], [0.000, 0.000, 0.000]]}

[2]
{"formula": "Hf2Ga2Tc", "functional": "PBE-GGA", "state": "relaxed", "lattice_angstrom": [[6.840, 0.000, 0.000], [0.000, 6.840, 0.000], [0.000, 0.000, 3.718]], "species": ["Hf", "Hf", "Hf", "Hf", "Tc", "Tc", "Ga", "Ga", "Ga", "Ga"], "fractional_positions": [[0.176, 0.676, 0.500], [0.676, 0.824, 0.500], [0.824, 0.324, 0.500], [0.324, 0.176, 0.500], [0.000, 0.000, 0.000], [0.500, 0.500, 0.000], [0.372, 0.872, 0.000], [0.872, 0.628, 0.000], [0.628, 0.128, 0.000], [0.128, 0.372, 0.000]]}

[3]
{"formula": "Hf4GaTc3", "functional": "PBE-GGA", "state": "relaxed", "lattice_angstrom": [[3.320, 0.000, 0.000], [0.000, 3.320, 0.000], [0.000, 0.000, 12.872]], "species": ["Hf", "Hf", "Hf", "Hf", "Tc", "Tc", "Tc", "Ga"], "fractional_positions": [[0.000, 0.000, 0.869], [0.000, 0.000, 0.131], [0.000, 0.000, 0.376], [0.000, 0.000, 0.624], [0.500, 0.500, 0.244], [0.500, 0.500, 0.500], [0.500, 0.500, 0.756], [0.500, 0.500, 0.000]]}

[4]
{"formula": "Hf2Ga6Tc", "functional": "PBE-GGA", "state": "relaxed", "lattice_angstrom": [[5.655, -0.535, -0.310], [-0.398, 5.782, 0.230], [-0.398, 3.080, 4.899]], "species": ["Hf", "Hf", "Ga", "Ga", "Ga", "Ga", "Ga", "Ga", "Tc"], "fractional_positions": [[0.856, 0.639, 0.639], [0.144, 0.361, 0.361], [0.342, 0.382, 0.856], [0.271, 0.836, 0.836], [0.342, 0.856, 0.382], [0.658, 0.618, 0.144], [0.729, 0.164, 0.164], [0.658, 0.144, 0.618], [0.000, 0.000, 0.000]]}

[5]
{"formula": "Hf3Ga3Tc", "functional": "PBE-GGA", "state": "relaxed", "e_above_lowest_polymorph_ev_per_fu": 0.00, "lattice_angstrom": [[-0.254, 1.632, 3.013], [-5.095, -1.188, -1.745], [0.568, -12.246, 6.681]], "species": ["Hf", "Hf", "Hf", "Hf", "Hf", "Hf", "Ga", "Ga", "Ga", "Ga", "Ga", "Ga", "Tc", "Tc"], "fractional_positions": [[0.175, 0.350, 0.909], [0.825, 0.650, 0.091], [0.175, 0.350, 0.591], [0.825, 0.650, 0.409], [0.488, 0.976, 0.750], [0.512, 0.024, 0.250], [0.895, 0.790, 0.892], [0.105, 0.210, 0.108], [0.895, 0.790, 0.608], [0.105, 0.210, 0.392], [0.749, 0.497, 0.750], [0.251, 0.503, 0.250], [0.500, 0.000, 0.000], [0.500, 0.000, 0.500]]}

[6]
{"formula": "Hf4Ga2Tc", "functional": "PBE-GGA", "state": "relaxed", "lattice_angstrom": [[4.907, 0.000, 0.000], [0.000, 4.907, 0.000], [2.454, 2.454, 6.902]], "species": ["Hf", "Hf", "Hf", "Hf", "Tc", "Ga", "Ga"], "fractional_positions": [[0.183, 0.183, 0.634], [0.817, 0.817, 0.366], [0.000, 0.500, 0.000], [0.500, 0.000, 0.000], [0.000, 0.000, 0.000], [0.379, 0.379, 0.243], [0.621, 0.621, 0.757]]}

[7]
{"formula": "HfGa4Tc", "functional": "PBE-GGA", "state": "relaxed", "lattice_angstrom": [[3.916, 0.000, 2.154], [0.000, 7.858, 0.000], [1.266, 0.000, 6.998]], "species": ["Hf", "Hf", "Ga", "Ga", "Ga", "Ga", "Ga", "Ga", "Ga", "Ga", "Tc", "Tc"], "fractional_positions": [[0.000, 0.000, 0.000], [0.500, 0.500, 0.000], [0.735, 0.666, 0.265], [0.765, 0.166, 0.735], [0.234, 0.166, 0.266], [0.266, 0.666, 0.734], [0.265, 0.334, 0.735], [0.235, 0.834, 0.265], [0.766, 0.834, 0.734], [0.734, 0.334, 0.266], [0.500, 0.000, 0.500], [0.000, 0.500, 0.500]]}

[8]
{"formula": "Hf6GaTc5", "functional": "PBE-GGA", "state": "relaxed", "lattice_angstrom": [[4.419, 0.021, -1.286], [-0.908, 5.814, -3.028], [-0.057, 0.391, 8.001]], "species": ["Hf", "Hf", "Hf", "Hf", "Hf", "Hf", "Tc", "Tc", "Tc", "Tc", "Tc", "Ga"], "fractional_positions": [[0.830, 0.574, 0.659], [0.830, 0.085, 0.659], [0.500, 0.737, 0.000], [0.500, 0.263, 0.000], [0.170, 0.915, 0.341], [0.170, 0.426, 0.341], [0.662, 0.162, 0.323], [0.332, 0.332, 0.665], [0.000, 0.500, 0.000], [0.668, 0.668, 0.335], [0.338, 0.838, 0.677], [0.000, 0.000, 0.000]]}

Result set for DOS(E_F): 1.26 0.36 0.78 0.54 0.67 0.86 0.42 0.70 states/eV per atom, one per record in the order listed.
Result set for ΔE_f: 0.958 -0.499 -0.527 -0.281 -0.487 0.397 -0.186 -0.509 eV per atom, one per record in the order listed.
Result set for final energy: -39.3 -77.6 -78.2 -51.0 -105.4 -53.5 -67.1 -120.7 eV for the cell shown, one per record in the order listed.